Entry 1:
A plane-wave DFT calculation with PBE was carried out for a geometry-optimized Sm3YTl3 structure.

**Distance to the lowest polymorph of the same formula**: 0.0 meV per atom
**Formation energy**: -0.280 eV per atom
**E_tot**: -29.683 eV per formula unit

Lattice parameters (Å, degrees): 9.476 9.476 9.476 90.00 90.00 90.00
Sites, in units of the cell vectors:
Sm 0.825 0.325 0.175
Sm 0.929 0.929 0.929
Sm 0.824 0.676 0.324
Sm 0.175 0.825 0.325
Sm 0.176 0.176 0.176
Sm 0.324 0.824 0.676
Sm 0.071 0.429 0.571
Sm 0.325 0.175 0.825
Sm 0.676 0.324 0.824
Sm 0.675 0.675 0.675
Sm 0.571 0.071 0.429
Sm 0.429 0.571 0.071
Y 0.073 0.573 0.927
Y 0.927 0.073 0.573
Y 0.427 0.427 0.427
Y 0.573 0.927 0.073
Tl 0.752 0.630 0.000
Tl 0.870 0.000 0.252
Tl 0.000 0.752 0.630
Tl 0.130 0.500 0.248
Tl 0.248 0.130 0.500
Tl 0.252 0.870 0.000
Tl 0.000 0.252 0.870
Tl 0.370 0.500 0.748
Tl 0.500 0.248 0.130
Tl 0.630 0.000 0.752
Tl 0.748 0.370 0.500
Tl 0.500 0.748 0.370



Entry 2:
A plane-wave DFT calculation with PBE was carried out for a geometry-optimized Sm3Y4Tl structure.

**Distance to the lowest polymorph of the same formula**: 5.9 meV per atom
**Formation energy**: -0.080 eV per atom
**E_tot**: -43.023 eV per formula unit

Lattice parameters (Å, degrees): 6.245 7.122 11.320 90.00 90.00 90.00
Sites, in units of the cell vectors:
Sm 0.628 0.629 0.000
Sm 0.971 0.613 0.239
Sm 0.471 0.387 0.261
Sm 0.128 0.371 0.500
Sm 0.471 0.387 0.739
Sm 0.971 0.613 0.761
Y 0.165 0.873 0.000
Y 0.642 0.131 0.000
Y 0.993 0.125 0.239
Y 0.493 0.875 0.261
Y 0.142 0.869 0.500
Y 0.665 0.127 0.500
Y 0.493 0.875 0.739
Y 0.993 0.125 0.761
Tl 0.152 0.365 0.000
Tl 0.652 0.635 0.500



Entry 3:
A plane-wave DFT calculation with PBE was carried out for a geometry-optimized Sm4YTl5 structure.

**Formation energy**: -0.380 eV per atom
**E_tot**: -40.967 eV per formula unit

Lattice parameters (Å, degrees): 3.812 3.812 19.632 90.00 90.00 90.00
Sites, in units of the cell vectors:
Sm 0.000 0.000 0.197
Sm 0.000 0.000 0.399
Sm 0.000 0.000 0.601
Sm 0.000 0.000 0.803
Y 0.000 0.000 0.000
Tl 0.500 0.500 0.096
Tl 0.500 0.500 0.298
Tl 0.500 0.500 0.500
Tl 0.500 0.500 0.702
Tl 0.500 0.500 0.904



Entry 4:
A plane-wave DFT calculation with PBE was carried out for a geometry-optimized SmY3Tl structure.

**Distance to the lowest polymorph of the same formula**: 64.6 meV per atom
**Formation energy**: -0.059 eV per atom
**E_tot**: -26.772 eV per formula unit

Lattice parameters (Å, degrees): 6.549 9.931 9.931 84.78 79.52 79.52
Sites, in units of the cell vectors:
Sm 0.526 0.542 0.668
Sm 0.974 0.332 0.458
Sm 0.474 0.458 0.332
Sm 0.026 0.668 0.542
Y 0.134 0.736 0.876
Y 0.366 0.124 0.264
Y 0.866 0.264 0.124
Y 0.634 0.876 0.736
Y 0.365 0.375 0.996
Y 0.135 0.004 0.625
Y 0.635 0.625 0.004
Y 0.865 0.996 0.375
Y 0.009 0.403 0.790
Y 0.491 0.210 0.597
Y 0.991 0.597 0.210
Y 0.509 0.790 0.403
Tl 0.750 0.910 0.090
Tl 0.250 0.090 0.910
Tl 0.750 0.152 0.848
Tl 0.250 0.848 0.152



Entry 5:
A plane-wave DFT calculation with PBE was carried out for a geometry-optimized Sm4Y3Tl structure.

**Formation energy**: -0.066 eV per atom
**E_tot**: -41.162 eV per formula unit

Lattice parameters (Å, degrees): 6.262 7.146 11.305 90.00 90.00 90.00
Sites, in units of the cell vectors:
Sm 0.173 0.874 0.000
Sm 0.623 0.131 0.000
Sm 0.988 0.131 0.230
Sm 0.488 0.869 0.270
Sm 0.123 0.869 0.500
Sm 0.673 0.126 0.500
Sm 0.488 0.869 0.730
Sm 0.988 0.131 0.770
Y 0.645 0.630 0.000
Y 0.972 0.618 0.244
Y 0.472 0.382 0.256
Y 0.145 0.370 0.500
Y 0.472 0.382 0.744
Y 0.972 0.618 0.756
Tl 0.154 0.393 0.000
Tl 0.654 0.607 0.500



Entry 6:
A plane-wave DFT calculation with PBE was carried out for a geometry-optimized Sm5YTl4 structure.

**Formation energy**: -0.290 eV per atom
**E_tot**: -42.428 eV per formula unit

Lattice parameters (Å, degrees): 3.681 3.681 22.075 90.00 90.00 90.00
Sites, in units of the cell vectors:
Sm 0.500 0.500 0.115
Sm 0.500 0.500 0.307
Sm 0.500 0.500 0.500
Sm 0.500 0.500 0.693
Sm 0.500 0.500 0.885
Y 0.000 0.000 0.000
Tl 0.000 0.000 0.210
Tl 0.000 0.000 0.404
Tl 0.000 0.000 0.596
Tl 0.000 0.000 0.790



Entry 7:
A plane-wave DFT calculation with PBE was carried out for a geometry-optimized Sm5Y3Tl2 structure.

**Formation energy**: -0.102 eV per atom
**E_tot**: -48.738 eV per formula unit

Lattice parameters (Å, degrees): 6.619 11.741 11.741 85.32 58.08 58.08
Sites, in units of the cell vectors:
Sm 0.250 0.534 0.466
Sm 0.750 0.466 0.534
Sm 0.555 0.794 0.689
Sm 0.945 0.311 0.206
Sm 0.445 0.206 0.311
Sm 0.055 0.689 0.794
Sm 0.166 0.521 0.207
Sm 0.834 0.479 0.793
Sm 0.666 0.206 0.521
Sm 0.334 0.794 0.479
Y 0.250 0.968 0.032
Y 0.750 0.032 0.968
Y 0.357 0.352 0.878
Y 0.643 0.648 0.122
Y 0.857 0.878 0.352
Y 0.143 0.122 0.648
Tl 0.142 0.739 0.026
Tl 0.858 0.261 0.974
Tl 0.642 0.026 0.739
Tl 0.358 0.974 0.261



Entry 8:
A plane-wave DFT calculation with PBE was carried out for a geometry-optimized Sm2Y2Tl3 structure.

**Distance to the lowest polymorph of the same formula**: 0.0 meV per atom
**Formation energy**: -0.263 eV per atom
**E_tot**: -31.309 eV per formula unit

Lattice parameters (Å, degrees): 3.810 8.656 6.499 94.40 72.92 89.99
Sites, in units of the cell vectors:
Sm 0.703 0.843 0.593
Sm 0.297 0.157 0.407
Y 0.565 0.286 0.870
Y 0.435 0.714 0.130
Tl 0.000 0.000 0.000
Tl 0.852 0.453 0.297
Tl 0.148 0.547 0.703



Q: Which formula does entry 4 have?
A: SmY3Tl



Q: Number 4 is which compound?
A: SmY3Tl



Q: Among the records above, which one has the highest E_tot?
A: SmY3Tl